Record 1
First-principles (PBE-GGA) data for an optimized crystal structure of SeSI2O, as listed in Alexandria.

Cell lengths 5.8147, 5.8147, 3.7803 Å; angles 90.00, 90.00, 90.00 degrees
With the nearest neighbours (Å) after each atom.
Sites, in units of the cell vectors:
I 0.5000 0.0000 0.0000  2 Se 2.91
I 0.0000 0.5000 0.0000  2 Se 2.91
S 0.5000 0.5000 0.5000  8 I 3.47, 2 S 3.78
Se 0.0000 0.0000 0.0000  2 O 1.89
O 0.0000 0.0000 0.5000  2 Se 1.89

Results
- D(E_F): 4.4 states/eV/f.u.
- SG: P4/mmm
- Energy relative to the lowest polymorph listed for this composition: 56 meV per atom
- Raw formation energy: 0.499 eV/atom

***

Record 2
First-principles (PBE-GGA) data for an optimized crystal structure of IrNF2, as listed in Alexandria.

Cell lengths 3.8934, 3.8934, 3.8934 Å; angles 60.00, 60.00, 60.00 degrees
With the nearest neighbours (Å) after each atom.
Sites, in units of the cell vectors:
F 0.2500 0.2500 0.2500  4 Ir 2.38, 4 N 2.38
F 0.7500 0.7500 0.7500  4 N 2.38, 4 Ir 2.38
N 0.0000 0.0000 0.0000  8 F 2.38
Ir 0.5000 0.5000 0.5000  8 F 2.38

Results
- D(E_F): 5.1 states/eV/f.u.
- SG: Fm-3m
- Energy relative to the lowest polymorph listed for this composition: 1628 meV per atom
- Raw formation energy: 1.348 eV/atom

***

Record 3
First-principles (PBE-GGA) data for an optimized crystal structure of TeBrF, as listed in Alexandria.

Cell lengths 4.2854, 6.7213, 10.1132 Å; angles 67.87, 52.57, 58.00 degrees
With the nearest neighbours (Å) after each atom.
Sites, in units of the cell vectors:
Te 0.9379 0.8435 0.3145  1 F 2.00
Br 0.2030 0.7832 0.5564  1 Te 2.70
F 0.1791 0.2768 0.2433  1 Te 2.00
Te 0.0322 0.2588 0.0958  1 F 2.00
Br 0.7674 0.3190 0.8539  1 Te 2.70
F 0.7910 0.8255 0.1670  1 Te 2.00

Results
- D(E_F): 0.5 states/eV/f.u.
- SG: P-1
- Energy relative to the lowest polymorph listed for this composition: 120 meV per atom
- Raw formation energy: -0.824 eV/atom

***

Record 4
First-principles (PBE-GGA) data for an optimized crystal structure of Tl4Hg2SeS, as listed in Alexandria.

Cell lengths 4.4352, 7.6194, 8.4930 Å; angles 108.19, 90.00, 90.00 degrees
With the nearest neighbours (Å) after each atom.
Sites, in units of the cell vectors:
Se 0.5000 0.5000 0.0000  6 Tl 3.06-3.07
Tl 0.0000 0.2537 0.7984  1 S 2.96, 2 Se 3.06
Tl 0.5000 0.2248 0.1986  2 S 2.98, 1 Se 3.07
Tl 0.5000 0.7752 0.8014  2 S 2.98, 1 Se 3.07
Hg 0.5000 0.0000 0.5000  6 Tl 3.47-3.50
Tl 0.0000 0.7463 0.2016  1 S 2.96, 2 Se 3.06
S 0.0000 0.0000 0.0000  6 Tl 2.96-2.98
Hg 0.0000 0.5000 0.5000  6 Tl 3.54-3.59

Results
- D(E_F): 0.8 states/eV/f.u.
- SG: P2/m
- Raw formation energy: -0.253 eV/atom

***

Record 5
First-principles (PBE-GGA) data for an optimized crystal structure of RbH6Se2, as listed in Alexandria.

Cell lengths 6.2314, 5.8054, 5.8054 Å; angles 70.96, 57.55, 57.55 degrees
With the nearest neighbours (Å) after each atom.
Sites, in units of the cell vectors:
H 0.4024 0.2445 0.9508  1 H 1.39
H 0.4024 0.9508 0.2445  1 H 1.39
H 0.5000 0.5563 0.4437  1 H 0.76
Se 0.2266 0.2735 0.2735  2 H 1.59
H 0.5976 0.0492 0.7555  1 H 1.39
Rb 0.0000 0.0000 0.0000  16 H 3.34-3.72, 8 Se 3.67-3.73
H 0.5000 0.4437 0.5563  1 H 0.76
Se 0.7734 0.7265 0.7265  2 H 1.59
H 0.5976 0.7555 0.0492  1 H 1.39

Results
- D(E_F): 1.7 states/eV/f.u.
- SG: Immm
- Electronic total energy: -3.15 eV/atom

***

Record 6
First-principles (PBE-GGA) data for an optimized crystal structure of TaReAu2, as listed in Alexandria.

Cell lengths 5.0996, 5.0996, 2.8350 Å; angles 89.98, 89.98, 113.89 degrees
With the nearest neighbours (Å) after each atom.
Sites, in units of the cell vectors:
Ta 0.0000 0.5000 0.5000  2 Re 2.78, 2 Ta 2.84, 8 Au 2.92
Au 0.0000 0.0000 0.0000  4 Au 2.78-2.84, 4 Re 2.92, 4 Ta 2.92
Au 0.5000 0.5000 0.0000  4 Au 2.78-2.84, 4 Ta 2.92, 4 Re 2.92
Re 0.5000 0.0000 0.5000  2 Ta 2.78, 2 Re 2.84, 8 Au 2.92

Results
- Energy relative to the elements: 1.02 eV per formula unit
- D(E_F): 2.2 states/eV/f.u.
- SG: Cmmm
- Energy relative to the lowest polymorph listed for this composition: 147 meV per atom

***

Record 7
First-principles (PBE-GGA) data for an optimized crystal structure of KBa2Li2Bi2, as listed in Alexandria.

Cell lengths 5.0500, 5.0500, 13.3375 Å; angles 79.09, 79.09, 60.00 degrees
With the nearest neighbours (Å) after each atom.
Sites, in units of the cell vectors:
Bi 0.7309 0.7309 0.8072  3 Li 2.94
Li 0.3876 0.3876 0.8371  3 Bi 2.94
Bi 0.2691 0.2691 0.1928  3 Li 2.94
K 0.0000 0.0000 0.0000  6 Li 3.61, 6 Bi 3.85
Ba 0.1144 0.1144 0.6567  3 Bi 3.51, 3 Li 3.74
Ba 0.8856 0.8856 0.3433  3 Bi 3.51, 3 Li 3.74
Li 0.6124 0.6124 0.1629  3 Bi 2.94

Results
- Energy relative to the elements: -4.00 eV per formula unit
- D(E_F): 1.9 states/eV/f.u.
- SG: R-3m

***

Record 8
First-principles (PBE-GGA) data for an optimized crystal structure of TePdWSe2, as listed in Alexandria.

Cell lengths 5.3867, 4.8615, 5.3867 Å; angles 90.00, 90.00, 90.00 degrees
With the nearest neighbours (Å) after each atom.
Sites, in units of the cell vectors:
Pd 0.0000 0.5000 0.0000  2 Te 2.43
W 0.5000 0.5000 0.5000  8 Se 3.63, 4 Pd 3.81
Se 0.0000 0.0000 0.5000  2 Te 2.69
Se 0.5000 0.0000 0.0000  2 Te 2.69
Te 0.0000 0.0000 0.0000  2 Pd 2.43, 4 Se 2.69

Results
- D(E_F): 4.0 states/eV/f.u.
- SG: P4/mmm
- Raw formation energy: 1.517 eV/atom

***

Record 9
First-principles (PBE-GGA) data for an optimized crystal structure of TcH3Os, as listed in Alexandria.

Cell lengths 3.3958, 3.3958, 3.3958 Å; angles 90.00, 90.00, 90.00 degrees
With the nearest neighbours (Å) after each atom.
Sites, in units of the cell vectors:
Tc 0.0000 0.0000 0.0000  6 H 1.70
Os 0.5000 0.5000 0.5000  12 H 2.40
H 0.5000 0.0000 0.0000  2 Tc 1.70
H 0.0000 0.0000 0.5000  2 Tc 1.70
H 0.0000 0.5000 0.0000  2 Tc 1.70

Results
- D(E_F): 5.0 states/eV/f.u.
- SG: Pm-3m
- Energy relative to the lowest polymorph listed for this composition: 154 meV per atom

***

Record 10
First-principles (PBE-GGA) data for an optimized crystal structure of HoZrSc2Sb4, as listed in Alexandria.

Cell lengths 4.2036, 7.2865, 7.2614 Å; angles 109.34, 90.00, 90.00 degrees
With the nearest neighbours (Å) after each atom.
Sites, in units of the cell vectors:
Zr 0.0000 0.0000 0.0000  6 Sb 2.97-2.98
Sb 0.0000 0.7593 0.2597  3 Sc 2.92-2.97, 1 Zr 2.97, 2 Ho 3.03
Sb 0.0000 0.2407 0.7403  3 Sc 2.92-2.97, 1 Zr 2.97, 2 Ho 3.03
Sc 0.0000 0.5000 0.5000  6 Sb 2.97
Ho 0.5000 0.5000 0.0000  6 Sb 3.02-3.03
Sb 0.5000 0.7542 0.7448  3 Sc 2.91-2.97, 2 Zr 2.98, 1 Ho 3.02
Sb 0.5000 0.2458 0.2552  3 Sc 2.91-2.97, 2 Zr 2.98, 1 Ho 3.02
Sc 0.5000 0.0000 0.5000  6 Sb 2.91-2.92

Results
- D(E_F): 1.6 states/eV/f.u.
- SG: P2/m
- Raw formation energy: -0.892 eV/atom

***

Record 11
First-principles (PBE-GGA) data for an optimized crystal structure of Sm4Tm15Sc, as listed in Alexandria.

Cell lengths 4.9589, 4.9589, 24.7352 Å; angles 90.00, 90.00, 90.00 degrees
With the nearest neighbours (Å) after each atom.
Sites, in units of the cell vectors:
Tm 0.5000 0.0000 0.5000  8 Tm 3.51-3.52, 4 Sm 3.52
Sm 0.0000 0.0000 0.8019  12 Tm 3.50-3.54
Tm 0.5000 0.5000 0.3993  4 Sm 3.51, 8 Tm 3.52
Tm 0.5000 0.0000 0.0959  2 Sc 3.43, 8 Tm 3.43-3.52, 2 Sm 3.54
Tm 0.5000 0.0000 0.9041  8 Tm 3.43-3.52, 2 Sc 3.43, 2 Sm 3.54
Tm 0.5000 0.5000 0.8030  4 Sm 3.51, 8 Tm 3.52
Tm 0.0000 0.5000 0.9041  2 Sc 3.43, 8 Tm 3.43-3.52, 2 Sm 3.54
Tm 0.0000 0.5000 0.7020  4 Sm 3.50-3.52, 8 Tm 3.51-3.52
Sm 0.0000 0.0000 0.3989  12 Tm 3.51-3.52
Sc 0.0000 0.0000 0.0000  12 Tm 3.43-3.51
Tm 0.5000 0.0000 0.2980  4 Sm 3.50-3.52, 8 Tm 3.51-3.52
Sm 0.0000 0.0000 0.1981  12 Tm 3.50-3.54
Tm 0.5000 0.5000 0.1970  4 Sm 3.51, 8 Tm 3.52
Tm 0.5000 0.5000 0.0000  8 Tm 3.43, 4 Sc 3.51
Tm 0.5000 0.5000 0.6007  4 Sm 3.51, 8 Tm 3.52
Tm 0.5000 0.0000 0.7020  4 Sm 3.50-3.52, 8 Tm 3.51-3.52
Tm 0.0000 0.5000 0.5000  8 Tm 3.51-3.52, 4 Sm 3.52
Tm 0.0000 0.5000 0.2980  4 Sm 3.50-3.52, 8 Tm 3.51-3.52
Tm 0.0000 0.5000 0.0959  8 Tm 3.43-3.52, 2 Sc 3.43, 2 Sm 3.54
Sm 0.0000 0.0000 0.6011  12 Tm 3.51-3.52

Results
- Energy relative to the elements: 0.61 eV per formula unit
- D(E_F): 27.9 states/eV/f.u.
- SG: P4/mmm

***

Record 12
First-principles (PBE-GGA) data for an optimized crystal structure of La2Mn2N, as listed in Alexandria.

Cell lengths 6.7320, 6.7320, 5.3061 Å; angles 90.00, 90.00, 90.00 degrees
With the nearest neighbours (Å) after each atom.
Sites, in units of the cell vectors:
La 0.8189 0.6811 0.0000  2 N 2.47
Mn 0.3639 0.1361 0.5000  1 Mn 2.59
N 0.5000 0.5000 0.0000  4 La 2.47
Mn 0.6361 0.8639 0.5000  1 Mn 2.59
Mn 0.8639 0.3639 0.5000  1 Mn 2.59
La 0.1811 0.3189 0.0000  2 N 2.47
La 0.6811 0.1811 0.0000  2 N 2.47
Mn 0.1361 0.6361 0.5000  1 Mn 2.59
La 0.3189 0.8189 0.0000  2 N 2.47
N 0.0000 0.0000 0.0000  4 La 2.47

Results
- D(E_F): 4.9 states/eV/f.u.
- SG: P4/mbm
- Energy relative to the lowest polymorph listed for this composition: 366 meV per atom
- Raw formation energy: 0.332 eV/atom

***

Record 13
First-principles (PBE-GGA) data for an optimized crystal structure of KSi2Pt, as listed in Alexandria.

Cell lengths 4.1240, 4.1240, 6.7135 Å; angles 72.30, 72.30, 59.87 degrees
With the nearest neighbours (Å) after each atom.
Sites, in units of the cell vectors:
Pt 0.2500 0.2500 0.2500  6 Si 2.48
Si 0.5463 0.5463 0.3611  3 Pt 2.48, 3 Si 2.76-2.77
K 0.7500 0.7500 0.7500  6 Si 3.41
Si 0.9537 0.9537 0.1389  3 Pt 2.48, 3 Si 2.76-2.77

Results
- D(E_F): 3.1 states/eV/f.u.
- SG: C2/m
- Raw formation energy: -0.343 eV/atom

***

Record 14
First-principles (PBE-GGA) data for an optimized crystal structure of CeIBr2, as listed in Alexandria.

Cell lengths 4.0150, 4.0150, 11.7026 Å; angles 80.12, 80.12, 60.00 degrees
With the nearest neighbours (Å) after each atom.
Sites, in units of the cell vectors:
Br 0.8875 0.8875 0.3376  3 Ce 2.97
Br 0.1125 0.1125 0.6624  3 Ce 2.97
I 0.0000 0.0000 0.0000  2 Br 3.87, 6 I 4.02
Ce 0.5000 0.5000 0.5000  6 Br 2.97

Results
- D(E_F): 7.7 states/eV/f.u.
- SG: R-3m
- Energy relative to the lowest polymorph listed for this composition: 553 meV per atom
- Raw formation energy: -1.102 eV/atom

***

Record 15
First-principles (PBE-GGA) data for an optimized crystal structure of Rb2TaCuPt, as listed in Alexandria.

Cell lengths 6.8533, 4.8851, 6.8533 Å; angles 90.00, 90.00, 90.00 degrees
With the nearest neighbours (Å) after each atom.
Sites, in units of the cell vectors:
Rb 0.0000 0.0000 0.5000  2 Ta 3.43
Ta 0.0000 0.0000 0.0000  2 Pt 2.44
Cu 0.5000 0.5000 0.5000  8 Rb 4.21
Pt 0.0000 0.5000 0.0000  2 Ta 2.44
Rb 0.5000 0.0000 0.0000  2 Ta 3.43

Results
- Energy relative to the elements: 6.25 eV per formula unit
- D(E_F): 3.8 states/eV/f.u.
- SG: P4/mmm

***

Record 16
First-principles (PBE-GGA) data for an optimized crystal structure of NdMg2Tl2Ag2, as listed in Alexandria.

Cell lengths 4.9201, 4.9201, 8.6007 Å; angles 73.38, 73.38, 60.00 degrees
With the nearest neighbours (Å) after each atom.
Sites, in units of the cell vectors:
Mg 0.1345 0.1345 0.5964  4 Ag 2.80-3.10
Nd 0.0000 0.0000 0.0000  6 Tl 3.27, 2 Mg 3.28, 6 Ag 3.50
Mg 0.8655 0.8655 0.4036  4 Ag 2.80-3.10
Ag 0.2495 0.2495 0.2516  4 Mg 2.80-3.10, 3 Tl 2.87
Tl 0.3998 0.3998 0.8006  3 Ag 2.87
Ag 0.7505 0.7505 0.7484  4 Mg 2.80-3.10, 3 Tl 2.87
Tl 0.6002 0.6002 0.1994  3 Ag 2.87

Results
- Energy relative to the elements: -1.13 eV per formula unit
- D(E_F): 3.9 states/eV/f.u.
- SG: R-3m